DFT (PBE-GGA) results for a geometry-optimized Zr4SnHg structure.

Lattice parameters (Å, degrees): 3.3625 5.6296 7.9882 102.90 77.85 72.62
Fractional coordinates of all 6 atoms:
Zr (0.8285, 0.5095, 0.8335)
Zr (0.3355, 0.9983, 0.3307)
Zr (0.1715, 0.4905, 0.1665)
Zr (0.6645, 0.0017, 0.6693)
Sn (0.5000, 0.5000, 0.5000)
Hg (0.0000, 0.0000, 0.0000)

- calculated total energy (eV/cell) = -40.1
- distance to the lowest polymorph of the same formula (meV per atom) = 0
- ΔE_f (kJ/mol of atoms) = -26.35
- magnetization (μB/f.u.) = 0.0

***

DFT (PBE-GGA) results for a geometry-optimized Zr2SnHg structure.

Lattice parameters (Å, degrees): 3.9387 3.9387 7.7147 75.21 75.21 60.00
Fractional coordinates of all 4 atoms:
Hg (0.5000, 0.5000, 0.5000)
Zr (0.2540, 0.2540, 0.2381)
Zr (0.7460, 0.7460, 0.7619)
Sn (0.0000, 0.0000, 0.0000)

- calculated total energy (eV/cell) = -21.8
- ΔE_f (kJ/mol of atoms) = -8.98
- magnetization (μB/f.u.) = 0.0

***

DFT (PBE-GGA) results for a geometry-optimized SrHg3 structure.

Lattice parameters (Å, degrees): 6.9289 6.9194 9.6008 90.00 90.00 90.00
Fractional coordinates of all 16 atoms:
Sr (0.0001, 0.0003, 0.2500)
Sr (0.5001, 0.4997, 0.2500)
Sr (0.9999, 0.9997, 0.7500)
Sr (0.4999, 0.5003, 0.7500)
Hg (0.2736, 0.7739, 0.0001)
Hg (0.7736, 0.7261, 0.4999)
Hg (0.7264, 0.2261, 0.5001)
Hg (0.2264, 0.2739, 0.9999)
Hg (0.7264, 0.2261, 0.9999)
Hg (0.2264, 0.2739, 0.5001)
Hg (0.2736, 0.7739, 0.4999)
Hg (0.7736, 0.7261, 0.0001)
Hg (0.5003, 0.9998, 0.2500)
Hg (0.0003, 0.5002, 0.2500)
Hg (0.4997, 0.0002, 0.7500)
Hg (0.9997, 0.4998, 0.7500)

- calculated total energy (eV/cell) = -16.6
- ΔE_f (kJ/mol of atoms) = -37.76
- magnetization (μB/f.u.) = 0.0